A plane-wave DFT calculation with GGA-PBE was carried out for a geometry-optimized ZrTe2As2 structure.

a b c (Å): 7.304 7.304 4.479
angles (deg): 90.00 90.00 90.00
Sites, in units of the cell vectors:
Zr (0.000, 0.000, 0.000)
Zr (0.500, 0.500, 0.000)
Te (0.185, 0.315, 0.500)
Te (0.315, 0.815, 0.500)
Te (0.685, 0.185, 0.500)
Te (0.815, 0.685, 0.500)
As (0.140, 0.640, 0.000)
As (0.360, 0.140, 0.000)
As (0.640, 0.860, 0.000)
As (0.860, 0.360, 0.000)

Summary:
Distance to the lowest polymorph of the same formula: 0 meV/atom
Formation energy (no corrections): -91 meV per atom